(1)
Density functional theory data (PBE-GGA) for a relaxed Ca2La4Dy crystal.

a b c (Å): 3.7565 38.3092 3.7011
angles (deg): 90.00 90.00 90.00
Space group Cmmm (No. 65)
Symmetry-distinct sites (fractional):
1 Ca 0.0000 0.2068 0.0000 (multiplicity 4)
2 La 0.0000 0.0656 0.0000 (multiplicity 4)
3 La 0.0000 0.3683 0.5000 (multiplicity 4)
4 Dy 0.0000 0.5000 0.5000 (multiplicity 2)

Raw total energy: -55.8 eV/cell
ΔE_f: 59 meV per atom


(2)
Density functional theory data (PBE-GGA) for a relaxed CaLaDy crystal.

a b c (Å): 6.8097 3.5766 9.2423
angles (deg): 90.00 90.00 90.00
Space group Pmma (No. 51)
Symmetry-distinct sites (fractional):
1 Ca 0.2500 0.0000 0.1451 (multiplicity 2)
2 La 0.2500 0.5000 0.7796 (multiplicity 2)
3 Dy 0.0000 0.0000 0.5000 (multiplicity 2)

Raw total energy: -22.0 eV/cell
ΔE_f: 170 meV per atom


(3)
Density functional theory data (PBE-GGA) for a relaxed CaLa9Dy2 crystal.

a b c (Å): 5.2431 5.2431 15.7598
angles (deg): 90.00 90.00 90.00
Space group P4/mmm (No. 123)
Symmetry-distinct sites (fractional):
1 Ca 0.0000 0.0000 0.0000 (multiplicity 1)
2 La 0.0000 0.5000 0.1726 (multiplicity 4)
3 La 0.0000 0.5000 0.5000 (multiplicity 2)
4 La 0.5000 0.5000 0.0000 (multiplicity 1)
5 La 0.5000 0.5000 0.3355 (multiplicity 2)
6 Dy 0.0000 0.0000 0.3342 (multiplicity 2)

Raw total energy: -55.3 eV/cell
ΔE_f: 23 meV per atom


(4)
Density functional theory data (PBE-GGA) for a relaxed Ca2La8Dy3 crystal.

a b c (Å): 18.8158 7.9365 6.6093
angles (deg): 90.00 104.57 90.00
Space group C2/m (No. 12)
Symmetry-distinct sites (fractional):
1 Ca 0.1554 0.0000 0.2733 (multiplicity 4)
2 La 0.0381 0.0000 0.7200 (multiplicity 4)
3 La 0.1682 0.5000 0.2809 (multiplicity 4)
4 La 0.1686 0.2734 0.7742 (multiplicity 8)
5 Dy 0.0000 0.3058 0.0000 (multiplicity 4)
6 Dy 0.0000 0.5000 0.5000 (multiplicity 2)

Raw total energy: -110.1 eV/cell
ΔE_f: 166 meV per atom


(5)
Density functional theory data (PBE-GGA) for a relaxed CaLa2Dy4 crystal.

a b c (Å): 3.6354 3.6354 62.8214
angles (deg): 90.00 90.00 120.00
Space group R-3m (No. 166, hexagonal axes)
Symmetry-distinct sites (fractional):
1 Ca 0.0000 0.0000 0.0000 (multiplicity 3)
2 La 0.0000 0.0000 0.4296 (multiplicity 6)
3 Dy 0.0000 0.0000 0.1443 (multiplicity 6)
4 Dy 0.0000 0.0000 0.2832 (multiplicity 6)

Raw total energy: -89.8 eV/cell
ΔE_f: 47 meV per atom


(6)
Density functional theory data (PBE-GGA) for a relaxed CaLaDy2 crystal.

a b c (Å): 3.6480 3.6480 36.2012
angles (deg): 90.00 90.00 120.00
Space group R3m (No. 160, hexagonal axes)
Symmetry-distinct sites (fractional):
1 Ca 0.0000 0.0000 0.0000 (multiplicity 3)
2 La 0.0000 0.0000 0.1655 (multiplicity 3)
3 Dy 0.0000 0.0000 0.5797 (multiplicity 3)
4 Dy 0.0000 0.0000 0.7524 (multiplicity 3)

Raw total energy: -47.6 eV/cell
ΔE_f: 65 meV per atom


Question: The highest ΔE_f belongs to which entry?
Answer: CaLaDy


Question: Which of these has the highest raw total energy?
Answer: CaLaDy


What did the second record say?
Density functional theory data (PBE-GGA) for a relaxed CaLaDy crystal.

a b c (Å): 6.8097 3.5766 9.2423
angles (deg): 90.00 90.00 90.00
Space group Pmma (No. 51)
Symmetry-distinct sites (fractional):
1 Ca 0.2500 0.0000 0.1451 (multiplicity 2)
2 La 0.2500 0.5000 0.7796 (multiplicity 2)
3 Dy 0.0000 0.0000 0.5000 (multiplicity 2)

Raw total energy: -22.0 eV/cell
ΔE_f: 170 meV per atom